# CrRu2

Crystalline CrRu2 at its relaxed geometry (PBE, Alexandria).

Calculated values
Its space group is Fd-3m. For the total magnetic moment, the calculation gives 0.5732 μB/atom.

a = 5.071 Å, b = 5.071 Å, c = 5.071 Å
α = 60.00°, β = 60.00°, γ = 60.00°
Fractional coordinates of all 6 atoms:
Cr (0.125, 0.125, 0.125)
Cr (0.875, 0.875, 0.875)
Ru (0.000, 0.500, 0.500)
Ru (0.500, 0.000, 0.500)
Ru (0.500, 0.500, 0.000)
Ru (0.500, 0.500, 0.500)



# Li2Mn

Crystalline Li2Mn at its relaxed geometry (PBE, Alexandria).

Calculated values
Its space group is P-3m1. For the total magnetic moment, the calculation gives 1.1516 μB/atom.

a = 2.766 Å, b = 2.766 Å, c = 7.208 Å
α = 90.00°, β = 90.00°, γ = 120.00°
Fractional coordinates of all 3 atoms:
Li (0.333, 0.667, 0.320)
Li (0.667, 0.333, 0.680)
Mn (0.000, 0.000, 0.000)



Uncorrected energy, respectively: -8.875, -4.054 eV/atom.
Formation energy from the elements, respectively: 0.517, 0.278 eV/atom.